Record 1
Density functional theory data (PBE) for a geometry-optimized Ca3TcPt structure.

Geometry as extended XYZ:
```
5
Lattice="5.452 0.000 0.000 0.000 5.452 0.000 0.000 0.000 5.452" Properties=species:S:1:pos:R:3 pbc="T T T"
Ca 0.000 0.000 2.726
Ca 0.000 2.726 0.000
Ca 2.726 0.000 0.000
Tc 2.726 2.726 2.726
Pt 0.000 0.000 0.000
```

VASP energy = -4.14 eV/atom
volume = 162.08 Å³/cell
space group = Pm-3m
crystal system = cubic
E above lowest polymorph = 0 kJ/mol of formula units

Record 2
Density functional theory data (PBE) for a geometry-optimized Dy5YCu4 structure.

Geometry as extended XYZ:
```
10
Lattice="3.476 0.000 0.000 0.000 3.476 0.000 0.000 0.000 19.041" Properties=species:S:1:pos:R:3 pbc="T T T"
Dy 0.000 0.000 0.000
Dy 0.000 0.000 3.482
Dy 0.000 0.000 6.918
Dy 0.000 0.000 12.123
Dy 0.000 0.000 15.559
Y 1.738 1.738 9.521
Cu 1.738 1.738 1.737
Cu 1.738 1.738 5.206
Cu 1.738 1.738 13.835
Cu 1.738 1.738 17.304
```

VASP energy = -4.78 eV/atom
volume = 230.01 Å³/cell
space group = P4/mmm
crystal system = tetragonal

Record 3
Density functional theory data (PBE) for a geometry-optimized Pr7Sm6Er16 structure.

Geometry as extended XYZ:
```
29
Lattice="0.000 7.959 7.959 7.959 0.000 7.959 7.959 7.959 0.000" Properties=species:S:1:pos:R:3 pbc="T T T"
Pr 0.000 0.000 0.000
Pr 3.979 3.979 0.000
Pr 3.979 0.000 3.979
Pr 7.959 3.979 3.979
Pr 0.000 3.979 3.979
Pr 3.979 7.959 3.979
Pr 3.979 3.979 7.959
Sm 7.959 7.959 4.116
Sm 7.959 4.116 7.959
Sm 11.801 7.959 7.959
Sm 4.116 7.959 7.959
Sm 7.959 11.801 7.959
Sm 7.959 7.959 11.801
Er 10.361 5.557 5.557
Er 2.065 2.065 2.065
Er 5.894 5.894 2.065
Er 5.894 2.065 5.894
Er 5.557 5.557 5.557
Er 10.361 10.361 5.557
Er 10.361 5.557 10.361
Er 13.852 10.024 10.024
Er 2.065 5.894 5.894
Er 5.557 10.361 5.557
Er 5.557 5.557 10.361
Er 10.361 10.361 10.361
Er 10.024 13.852 10.024
Er 10.024 10.024 13.852
Er 13.852 13.852 13.852
Er 5.557 10.361 10.361
```

VASP energy = -4.40 eV/atom
volume = 1008.26 Å³/cell
space group = Fm-3m
crystal system = cubic

Record 4
Density functional theory data (PBE) for a geometry-optimized PrZn5Pd2 structure.

Geometry as extended XYZ:
```
8
Lattice="-1.981 3.681 4.991 1.981 -3.681 4.991 1.981 3.681 -4.991" Properties=species:S:1:pos:R:3 pbc="T T T"
Pr 0.000 0.000 0.000
Zn 1.981 2.315 -1.407
Zn 1.981 2.315 1.407
Zn 0.000 3.681 0.000
Zn 0.000 1.366 3.583
Zn 0.000 1.366 6.398
Pd 1.981 0.000 2.455
Pd 0.000 3.681 2.536
```

VASP energy = -3.11 eV/atom
volume = 145.59 Å³/cell
space group = Immm
crystal system = orthorhombic

Record 5
Density functional theory data (PBE) for a geometry-optimized LaGa2Au2 structure.

Geometry as extended XYZ:
```
5
Lattice="-2.303 2.303 5.172 2.303 -2.303 5.172 2.303 2.303 -5.172" Properties=species:S:1:pos:R:3 pbc="T T T"
La 0.000 0.000 0.000
Ga 0.000 0.000 3.917
Ga 0.000 0.000 6.426
Au 2.303 0.000 2.586
Au 0.000 2.303 2.586
```

VASP energy = -4.17 eV/atom
volume = 109.69 Å³/cell
space group = I4/mmm
crystal system = tetragonal

Record 6
Density functional theory data (PBE) for a geometry-optimized TlC structure.

Geometry as extended XYZ:
```
12
Lattice="9.155 0.000 0.000 -4.577 7.928 0.000 0.000 0.000 3.802" Properties=species:S:1:pos:R:3 pbc="T T T"
Tl -2.283 5.442 0.951
Tl 1.006 3.230 0.951
Tl 3.300 0.744 2.852
Tl 1.277 7.185 0.951
Tl 3.571 4.698 2.852
Tl 6.861 2.486 2.852
C -1.222 3.230 0.951
C -1.169 7.372 0.951
C 2.186 2.674 2.852
C 2.391 5.255 0.951
C 5.746 0.556 2.852
C 5.800 4.698 2.852
```

VASP energy = -3.75 eV/atom
volume = 275.97 Å³/cell
space group = P6_3/m
crystal system = hexagonal
E above lowest polymorph = 243 kJ/mol of formula units

Record 7
Density functional theory data (PBE) for a geometry-optimized Ba3CaAc3O8 structure.

Geometry as extended XYZ:
```
15
Lattice="3.771 2.177 6.352 -3.771 2.177 6.352 0.000 -4.355 6.352" Properties=species:S:1:pos:R:3 pbc="T T T"
Ba -1.886 -1.089 6.352
Ba -1.886 1.089 12.704
Ba 0.000 2.177 6.352
Ca 0.000 0.000 9.528
Ac -3.771 0.000 9.528
Ac -1.886 1.089 3.176
Ac 1.886 1.089 3.176
O 0.000 0.000 4.589
O -1.803 -1.041 10.805
O 0.000 -2.082 8.251
O -1.803 1.041 8.251
O 1.803 -1.041 10.806
O 0.000 2.082 10.806
O 1.803 1.041 8.251
O 0.000 0.000 14.468
```

VASP energy = -6.74 eV/atom
volume = 312.96 Å³/cell
space group = R-3m
crystal system = trigonal
formation energy (no corrections) = -2.754 eV/atom

Record 8
Density functional theory data (PBE) for a geometry-optimized AcSm4Dy8 structure.

Geometry as extended XYZ:
```
13
Lattice="5.116 -3.542 0.000 5.116 3.542 0.000 -3.192 0.000 12.063" Properties=species:S:1:pos:R:3 pbc="T T T"
Ac 0.000 0.000 0.000
Sm 3.520 1.703 6.032
Sm 0.825 0.000 7.787
Sm 6.215 0.000 4.276
Sm 3.520 -1.703 6.032
Dy 3.522 1.663 2.527
Dy 0.856 0.000 4.138
Dy 0.594 0.000 11.295
Dy 3.518 1.663 9.536
Dy 3.522 -1.663 2.527
Dy 6.447 0.000 0.768
Dy 6.185 0.000 7.925
Dy 3.518 -1.663 9.536
```

VASP energy = -4.50 eV/atom
volume = 437.18 Å³/cell
space group = C2/m
crystal system = monoclinic

Record 9
Density functional theory data (PBE) for a geometry-optimized AlAsCl2 structure.

Geometry as extended XYZ:
```
4
Lattice="-1.508 2.755 6.495 1.508 -2.755 6.495 1.508 2.755 -6.495" Properties=species:S:1:pos:R:3 pbc="T T T"
Al 0.000 0.000 0.000
As 0.000 0.000 6.495
Cl 1.508 0.000 1.761
Cl 0.000 2.755 4.734
```

VASP energy = -3.34 eV/atom
volume = 107.94 Å³/cell
space group = Immm
crystal system = orthorhombic
formation energy (no corrections) = -0.321 eV/atom
E above lowest polymorph = 115 kJ/mol of formula units

Record 10
Density functional theory data (PBE) for a geometry-optimized TbMgCoNi structure.

Geometry as extended XYZ:
```
4
Lattice="0.000 3.220 3.220 3.220 0.000 3.220 3.220 3.220 0.000" Properties=species:S:1:pos:R:3 pbc="T T T"
Tb 0.000 0.000 0.000
Mg 3.220 3.220 3.220
Co 1.610 1.610 1.610
Ni 4.829 4.829 4.829
```

VASP energy = -4.88 eV/atom
volume = 66.75 Å³/cell
space group = F-43m
crystal system = cubic

Record 11
Density functional theory data (PBE) for a geometry-optimized BaBeOs structure.

Geometry as extended XYZ:
```
3
Lattice="0.000 3.214 3.214 3.214 0.000 3.214 3.214 3.214 0.000" Properties=species:S:1:pos:R:3 pbc="T T T"
Ba 0.000 0.000 0.000
Be 1.607 1.607 1.607
Os 3.214 3.214 3.214
```

VASP energy = -4.36 eV/atom
volume = 66.42 Å³/cell
space group = F-43m
crystal system = cubic
E above lowest polymorph = 243 kJ/mol of formula units

Record 12
Density functional theory data (PBE) for a geometry-optimized InPbCl4 structure.

Geometry as extended XYZ:
```
6
Lattice="0.000 4.313 4.313 4.313 0.000 4.313 4.313 4.313 0.000" Properties=species:S:1:pos:R:3 pbc="T T T"
In 0.000 0.000 0.000
Pb 6.469 6.469 6.469
Cl 3.236 3.236 3.236
Cl 5.390 5.390 3.236
Cl 5.390 3.236 5.390
Cl 3.236 5.390 5.390
```

VASP energy = -2.37 eV/atom
volume = 160.43 Å³/cell
space group = F-43m
crystal system = cubic
formation energy (no corrections) = -0.065 eV/atom
E above lowest polymorph = 524 kJ/mol of formula units

Record 13
Density functional theory data (PBE) for a geometry-optimized FeAs2RuBr structure.

Geometry as extended XYZ:
```
5
Lattice="4.700 0.000 0.000 0.000 4.700 0.000 0.000 0.000 5.313" Properties=species:S:1:pos:R:3 pbc="T T T"
Fe 0.000 0.000 0.000
As 0.000 2.350 2.656
As 2.350 0.000 2.656
Ru 2.350 2.350 2.656
Br 2.350 2.350 0.000
```

VASP energy = -4.90 eV/atom
volume = 117.35 Å³/cell
space group = P4/mmm
crystal system = tetragonal
formation energy (no corrections) = 0.838 eV/atom
E above lowest polymorph = 0 kJ/mol of formula units

Record 14
Density functional theory data (PBE) for a geometry-optimized SnPbI2F structure.

Geometry as extended XYZ:
```
5
Lattice="6.138 0.000 0.000 0.000 6.138 0.000 0.000 0.000 4.330" Properties=species:S:1:pos:R:3 pbc="T T T"
Sn 0.000 0.000 0.000
Pb 3.069 3.069 0.000
I 0.000 3.069 2.165
I 3.069 0.000 2.165
F 0.000 0.000 2.165
```

VASP energy = -3.10 eV/atom
volume = 163.13 Å³/cell
space group = P4/mmm
crystal system = tetragonal
formation energy (no corrections) = -0.559 eV/atom

Record 15
Density functional theory data (PBE) for a geometry-optimized Li2MgCd5In structure.

Geometry as extended XYZ:
```
18
Lattice="7.838 0.000 0.000 0.000 7.838 0.000 0.000 0.000 6.515" Properties=species:S:1:pos:R:3 pbc="T T T"
Li 0.848 3.071 0.000
Li 3.071 6.990 0.000
Li 4.768 0.848 0.000
Li 6.990 4.768 0.000
Mg 0.000 3.919 3.257
Mg 3.919 0.000 3.257
Cd 0.000 0.000 0.000
Cd 1.600 5.519 1.620
Cd 1.600 5.519 4.894
Cd 2.319 1.600 1.620
Cd 2.319 1.600 4.894
Cd 3.919 3.919 0.000
Cd 5.519 6.238 1.620
Cd 5.519 6.238 4.894
Cd 6.238 2.319 1.620
Cd 6.238 2.319 4.894
In 0.000 0.000 3.257
In 3.919 3.919 3.257
```

VASP energy = -1.43 eV/atom
volume = 400.24 Å³/cell
space group = P4/mbm
crystal system = tetragonal

Record 16
Density functional theory data (PBE) for a geometry-optimized CdBiSbI2 structure.

Geometry as extended XYZ:
```
5
Lattice="5.657 0.000 0.000 0.000 5.657 0.000 0.000 0.000 5.822" Properties=species:S:1:pos:R:3 pbc="T T T"
Cd 0.000 0.000 0.000
Bi 2.829 2.829 2.911
Sb 0.000 0.000 2.911
I 0.000 2.829 0.000
I 2.829 0.000 0.000
```

VASP energy = -2.02 eV/atom
volume = 186.32 Å³/cell
space group = P4/mmm
crystal system = tetragonal
formation energy (no corrections) = 0.383 eV/atom
E above lowest polymorph = 51 kJ/mol of formula units

Record 17
Density functional theory data (PBE) for a geometry-optimized K4YAs structure.

Geometry as extended XYZ:
```
6
Lattice="0.000 5.024 5.024 5.024 0.000 5.024 5.024 5.024 0.000" Properties=species:S:1:pos:R:3 pbc="T T T"
K 3.795 3.795 3.795
K 6.254 6.254 3.795
K 6.254 3.795 6.254
K 3.795 6.254 6.254
Y 0.000 0.000 0.000
As 7.537 7.537 7.537
```

VASP energy = -2.02 eV/atom
volume = 253.69 Å³/cell
space group = F-43m
crystal system = cubic

Record 18
Density functional theory data (PBE) for a geometry-optimized HoTe2Au structure.

Geometry as extended XYZ:
```
4
Lattice="2.270 1.311 8.428 -2.270 1.311 8.428 0.000 -2.622 8.428" Properties=species:S:1:pos:R:3 pbc="T T T"
Ho 0.000 0.000 0.000
Te 0.000 0.000 10.051
Te 0.000 0.000 15.233
Au 0.000 0.000 12.642
```

VASP energy = -4.34 eV/atom
volume = 150.49 Å³/cell
space group = R-3m
crystal system = trigonal
formation energy (no corrections) = -0.806 eV/atom

Record 19
Density functional theory data (PBE) for a geometry-optimized LiNdCuRh structure.

Geometry as extended XYZ:
```
4
Lattice="0.000 3.353 3.353 3.353 0.000 3.353 3.353 3.353 0.000" Properties=species:S:1:pos:R:3 pbc="T T T"
Li 0.000 0.000 0.000
Nd 3.353 3.353 3.353
Cu 1.676 1.676 1.676
Rh 5.029 5.029 5.029
```

VASP energy = -4.73 eV/atom
volume = 75.39 Å³/cell
space group = F-43m
crystal system = cubic

Record 20
Density functional theory data (PBE) for a geometry-optimized Ca2LaO structure.

Geometry as extended XYZ:
```
8
Lattice="0.000 5.081 5.081 5.081 0.000 5.081 5.081 5.081 0.000" Properties=species:S:1:pos:R:3 pbc="T T T"
Ca 0.000 0.000 0.000
Ca 2.540 2.540 0.000
Ca 2.540 0.000 2.540
Ca 0.000 2.540 2.540
La 3.811 3.811 3.811
La 6.351 6.351 6.351
O 1.270 1.270 1.270
O 8.892 8.892 8.892
```

VASP energy = -4.66 eV/atom
volume = 262.35 Å³/cell
space group = Fd-3m
crystal system = cubic
formation energy (no corrections) = -1.187 eV/atom

Record 21
Density functional theory data (PBE) for a geometry-optimized Dy2HoPb3 structure.

Geometry as extended XYZ:
```
12
Lattice="8.493 -3.194 0.000 8.493 3.194 0.000 -1.195 0.000 6.283" Properties=species:S:1:pos:R:3 pbc="T T T"
Dy 2.721 0.765 0.599
Dy 2.124 -0.765 3.741
Dy 13.667 0.765 2.542
Dy 13.069 -0.765 5.684
Ho 8.194 0.757 1.571
Ho 7.597 -0.757 4.713
Pb 7.597 2.456 4.713
Pb 5.179 0.718 2.652
Pb 4.582 -0.718 5.794
Pb 11.209 0.718 0.490
Pb 10.611 -0.718 3.632
Pb 8.194 -2.456 1.571
```

VASP energy = -4.61 eV/atom
volume = 340.93 Å³/cell
space group = C2/c
crystal system = monoclinic
E above lowest polymorph = 20 kJ/mol of formula units

Record 22
Density functional theory data (PBE) for a geometry-optimized HPb structure.

Geometry as extended XYZ:
```
12
Lattice="8.024 0.000 0.000 -4.012 6.949 0.000 0.000 0.000 4.337" Properties=species:S:1:pos:R:3 pbc="T T T"
H -1.794 4.178 1.084
H 1.291 3.305 1.084
H 3.508 0.535 3.253
H 0.504 6.414 1.084
H 2.721 3.643 3.253
H 5.806 2.770 3.253
Pb -1.956 4.926 3.253
Pb 0.724 2.792 3.253
Pb 2.780 0.769 1.084
Pb 1.232 6.180 3.253
Pb 3.288 4.157 1.084
Pb 5.968 2.023 1.084
```

VASP energy = -3.12 eV/atom
volume = 241.79 Å³/cell
space group = P6_3/m
crystal system = hexagonal
E above lowest polymorph = 11 kJ/mol of formula units

Record 23
Density functional theory data (PBE) for a geometry-optimized MnFe3Rh structure.

Geometry as extended XYZ:
```
5
Lattice="4.148 0.000 0.000 0.000 4.148 0.000 0.000 0.000 4.148" Properties=species:S:1:pos:R:3 pbc="T T T"
Mn 0.000 0.000 0.000
Fe 0.000 0.000 2.074
Fe 0.000 2.074 0.000
Fe 2.074 0.000 0.000
Rh 2.074 2.074 2.074
```

VASP energy = -7.30 eV/atom
volume = 71.37 Å³/cell
space group = Pm-3m
crystal system = cubic
E above lowest polymorph = 0 kJ/mol of formula units

Record 24
Density functional theory data (PBE) for a geometry-optimized LiCaAl2 structure.

Geometry as extended XYZ:
```
8
Lattice="-2.341 2.341 9.536 2.341 -2.341 9.536 2.341 2.341 -9.536" Properties=species:S:1:pos:R:3 pbc="T T T"
Li 0.000 0.000 0.000
Li 0.000 2.341 4.768
Ca 2.341 0.000 4.768
Ca 0.000 0.000 9.536
Al -0.495 1.170 2.384
Al 1.170 1.846 7.152
Al 0.495 3.511 2.384
Al -1.170 2.835 7.152
```

VASP energy = -2.72 eV/atom
volume = 208.95 Å³/cell
space group = I-42d
crystal system = tetragonal
E above lowest polymorph = 112 kJ/mol of formula units